Sm3DyAg4 | GGA-PBE | relaxed

CIF file:
```
data_Sm3DyAg4
_chemical_formula_sum 'Sm3 Dy1 Ag4'
_cell_length_a 3.680
_cell_length_b 3.680
_cell_length_c 14.855
_cell_angle_alpha 90.00
_cell_angle_beta 90.00
_cell_angle_gamma 90.00
_symmetry_space_group_name_H-M 'P 1'
_symmetry_Int_Tables_number 1
_symmetry_space_group_name_Hall 'P 1'
loop_
_atom_site_label
_atom_site_fract_x
_atom_site_fract_y
_atom_site_fract_z
Dy1 0.500 0.500 0.000
Ag1 0.000 0.000 0.374
Ag2 0.000 0.000 0.882
Sm1 0.500 0.500 0.247
Sm2 0.500 0.500 0.753
Ag3 0.000 0.000 0.626
Sm3 0.500 0.500 0.500
Ag4 0.000 0.000 0.118
```

Values from the calculation:
Crystal system: tetragonal
Symmetry: No. 123
Final energy: -4.06 eV per atom
ΔH_f (0 K): -291 meV per atom
Density of states at the Fermi level: 5.17 states/eV/cell